Entry 1:
The following is a SCAN calculation of a PBEsol-optimized structure of Sm3ZrSb5, from Alexandria.

Computed properties:
Uncorrected formation energy ... -1.04 eV/atom

abc: 9.3042 9.3042 6.2063
angles: 90.00 90.00 120.00
Fractional coordinates of all 18 atoms:
Sm1 0.0000 0.3817 0.2500
Sm2 0.0000 0.6183 0.7500
Sm3 0.3817 0.0000 0.2500
Sm4 0.3817 0.3817 0.7500
Sm5 0.6183 0.0000 0.7500
Sm6 0.6183 0.6183 0.2500
Zr1 0.0000 0.0000 0.0000
Zr2 0.0000 0.0000 0.5000
Sb1 0.0000 0.2679 0.7500
Sb2 0.0000 0.7321 0.2500
Sb3 0.2679 0.0000 0.7500
Sb4 0.2679 0.2679 0.2500
Sb5 0.3333 0.6667 0.0000
Sb6 0.3333 0.6667 0.5000
Sb7 0.6667 0.3333 0.0000
Sb8 0.6667 0.3333 0.5000
Sb9 0.7321 0.0000 0.2500
Sb10 0.7321 0.7321 0.7500

---

Entry 2:
The following is a SCAN calculation of a PBEsol-optimized structure of SrSnSb3, from Alexandria.

Computed properties:
Uncorrected formation energy ... 0.16 eV/atom

abc: 5.6100 5.6100 5.6100
angles: 90.00 90.00 90.00
Fractional coordinates of all 5 atoms:
Sr1 0.0000 0.0000 0.0000
Sn1 0.5000 0.5000 0.5000
Sb1 0.0000 0.5000 0.5000
Sb2 0.5000 0.0000 0.5000
Sb3 0.5000 0.5000 0.0000

---

Entry 3:
The following is a SCAN calculation of a PBEsol-optimized structure of SrSnSb2Te, from Alexandria.

Computed properties:
Uncorrected formation energy ... -0.01 eV/atom
Polymorph energy (0 for the lowest one) ... 0.0000 eV/atom

abc: 5.5742 5.5742 5.7367
angles: 90.00 90.00 90.00
Fractional coordinates of all 5 atoms:
Sr1 0.0000 0.0000 0.0000
Sn1 0.5000 0.5000 0.5000
Sb1 0.0000 0.5000 0.5000
Sb2 0.5000 0.0000 0.5000
Te1 0.5000 0.5000 0.0000

---

Entry 4:
The following is a SCAN calculation of a PBEsol-optimized structure of SrSnSb2Te, from Alexandria.

Computed properties:
Uncorrected formation energy ... 0.71 eV/atom
Polymorph energy (0 for the lowest one) ... 0.7206 eV/atom

abc: 5.8288 5.8288 5.8687
angles: 90.00 90.00 90.00
Fractional coordinates of all 5 atoms:
Sr1 0.0000 0.0000 0.0000
Sn1 0.5000 0.5000 0.5000
Sb1 0.0000 0.5000 0.0000
Sb2 0.5000 0.0000 0.0000
Te1 0.0000 0.0000 0.5000

---

Entry 5:
The following is a SCAN calculation of a PBEsol-optimized structure of Sn2Sb2Te, from Alexandria.

Computed properties:
Uncorrected formation energy ... 0.12 eV/atom
Polymorph energy (0 for the lowest one) ... 0.0000 eV/atom

abc: 4.2437 4.2437 16.1612
angles: 90.00 90.00 90.00
Fractional coordinates of all 10 atoms:
Sn1 0.0000 0.0000 0.0949
Sn2 0.0000 0.0000 0.9051
Sn3 0.5000 0.5000 0.4051
Sn4 0.5000 0.5000 0.5949
Sb1 0.0000 0.5000 0.2500
Sb2 0.0000 0.5000 0.7500
Sb3 0.5000 0.0000 0.2500
Sb4 0.5000 0.0000 0.7500
Te1 0.0000 0.0000 0.5000
Te2 0.5000 0.5000 0.0000

---

Entry 6:
The following is a SCAN calculation of a PBEsol-optimized structure of Sn2Sb2Te, from Alexandria.

Computed properties:
Uncorrected formation energy ... 0.19 eV/atom
Polymorph energy (0 for the lowest one) ... 0.0667 eV/atom

abc: 4.2675 4.2675 15.5282
angles: 90.00 90.00 90.00
Fractional coordinates of all 10 atoms:
Sn1 0.0000 0.5000 0.2500
Sn2 0.0000 0.5000 0.7500
Sn3 0.5000 0.0000 0.2500
Sn4 0.5000 0.0000 0.7500
Sb1 0.0000 0.0000 0.0976
Sb2 0.0000 0.0000 0.9024
Sb3 0.5000 0.5000 0.4024
Sb4 0.5000 0.5000 0.5976
Te1 0.0000 0.0000 0.5000
Te2 0.5000 0.5000 0.0000